1:
DFT (PBE) results for TcHF2 after structural relaxation.

Cell lengths 6.194, 6.194, 6.194 Å; angles 24.41, 24.41, 24.41 degrees
Atoms (fractional coordinates):
H 0.500 0.500 0.500
Tc 0.000 0.000 0.000
F 0.887 0.887 0.887
F 0.113 0.113 0.113

Output
The total magnetization is 0.0 μB per formula unit.

---

2:
DFT (PBE) results for TcHF2 after structural relaxation.

Cell lengths 3.732, 3.732, 3.732 Å; angles 60.00, 60.00, 60.00 degrees
Each line ends with the local moment (μB).
Atoms (fractional coordinates):
H 0.000 0.000 0.000  -0.04
Tc 0.500 0.500 0.500  1.39
F 0.250 0.250 0.250  0.00
F 0.750 0.750 0.750  0.00

Output
The total magnetization is 1.4 μB per formula unit.

---

Least stable = 2

---

1:
DFT (PBE) results for TcH2F6 after structural relaxation.

Cell lengths 4.421, 7.317, 7.317 Å; angles 78.03, 82.05, 82.05 degrees
Atoms (fractional coordinates):
Tc 0.250 0.075 0.925
Tc 0.750 0.925 0.075
H 0.162 0.645 0.619
H 0.338 0.381 0.355
H 0.838 0.355 0.381
H 0.662 0.619 0.645
F 0.362 0.693 0.573
F 0.138 0.427 0.307
F 0.638 0.307 0.427
F 0.862 0.573 0.693
F 0.873 0.878 0.315
F 0.627 0.685 0.122
F 0.127 0.122 0.685
F 0.373 0.315 0.878
F 0.140 0.801 0.960
F 0.360 0.040 0.199
F 0.860 0.199 0.040
F 0.640 0.960 0.801

Output
The total magnetization is 0.0 μB per formula unit.

---

2:
DFT (PBE) results for TcH2F6 after structural relaxation.

Cell lengths 4.610, 4.610, 5.825 Å; angles 66.69, 66.69, 60.00 degrees
Each line ends with the local moment (μB).
Atoms (fractional coordinates):
Tc 0.333 0.333 0.001  2.43
H 0.745 0.745 0.766  0.00
H 0.589 0.589 0.234  0.00
F 0.729 0.452 0.772  0.06
F 0.047 0.729 0.772  0.06
F 0.452 0.047 0.772  0.06
F 0.299 0.578 0.229  0.06
F 0.893 0.299 0.229  0.06
F 0.578 0.893 0.229  0.06

Output
The total magnetization is 3.0 μB per formula unit.

---

Least stable = 2

---

1:
DFT (PBE) results for TcHF3 after structural relaxation.

Cell lengths 4.134, 4.134, 4.134 Å; angles 90.00, 90.00, 90.00 degrees
Each line ends with the local moment (μB).
Atoms (fractional coordinates):
H 0.500 0.500 0.500  0.38
Tc 0.000 0.000 0.000  2.74
F 0.000 0.500 0.000  0.10
F 0.000 0.000 0.500  0.05
F 0.500 0.000 0.000  0.14

Output
The total magnetization is 4.2 μB per formula unit.

---

2:
DFT (PBE) results for TcHF3 after structural relaxation.

Cell lengths 3.629, 3.629, 3.629 Å; angles 90.00, 90.00, 90.00 degrees
Each line ends with the local moment (μB).
Atoms (fractional coordinates):
H 0.000 0.000 0.000  0.00
Tc 0.500 0.500 0.500  4.29
F 0.000 0.500 0.000  0.12
F 0.000 0.000 0.500  0.08
F 0.500 0.000 0.000  0.09

Output
The total magnetization is 5.0 μB per formula unit.

---

Least stable = 2